Material: K2TaAs2
Method: DFT, GGA-PBE
State: optimized geometry

Cell lengths 6.928, 6.928, 5.631 Å; angles 90.00, 90.00, 90.00 degrees
Site moments in Bohr magnetons follow the coordinates.
Sites, in units of the cell vectors:
As 0.345 0.845 0.000  -0.02
As 0.845 0.655 0.000  -0.02
As 0.655 0.155 0.000  -0.02
As 0.155 0.345 0.000  -0.02
K 0.164 0.664 0.500  0.00
K 0.664 0.836 0.500  0.00
K 0.836 0.336 0.500  0.00
K 0.336 0.164 0.500  0.00
Ta 0.000 0.000 0.000  0.58
Ta 0.500 0.500 0.000  0.58

Output
For the excess energy over the best structure of this formula in the dataset, the calculation gives 0 meV/atom. The calculated total energy is -4.660 eV per atom. Its space group is No. 127. The calculation puts the formation energy from the elements at 0.01 eV/atom.

***

Material: KTa2As
Method: DFT, GGA-PBE
State: optimized geometry

Cell lengths 5.603, 5.603, 5.603 Å; angles 136.47, 136.47, 63.25 degrees
Sites, in units of the cell vectors:
As 0.250 0.750 0.500
K 0.750 0.250 0.500
Ta 0.000 0.000 0.000
Ta 0.500 0.500 0.000

Output
The calculated total energy is -6.257 eV per atom. Its space group is No. 139. The calculation puts the formation energy from the elements at 1.11 eV/atom.

***

Material: KTa2TcAs
Method: DFT, GGA-PBE
State: optimized geometry

Cell lengths 4.789, 5.621, 4.789 Å; angles 90.00, 90.00, 90.00 degrees
Sites, in units of the cell vectors:
K 0.000 0.500 0.000
As 0.500 0.500 0.500
Tc 0.000 0.000 0.000
Ta 0.000 0.000 0.500
Ta 0.500 0.000 0.000

Output
The calculated total energy is -6.515 eV per atom. Its space group is No. 123. The calculation puts the formation energy from the elements at 1.45 eV/atom.

***

Material: K5TaTl2As4
Method: DFT, GGA-PBE
State: optimized geometry

Cell lengths 7.738, 10.737, 18.860 Å; angles 90.00, 90.00, 90.00 degrees
Sites, in units of the cell vectors:
As 0.244 0.750 0.666
As 0.756 0.250 0.334
As 0.744 0.250 0.834
As 0.256 0.750 0.166
As 0.833 0.750 0.794
As 0.167 0.250 0.206
As 0.333 0.250 0.706
As 0.667 0.750 0.294
As 0.807 0.561 0.602
As 0.193 0.439 0.398
As 0.307 0.439 0.898
As 0.193 0.061 0.398
As 0.693 0.561 0.102
As 0.807 0.939 0.602
As 0.693 0.939 0.102
As 0.307 0.061 0.898
K 0.405 0.750 0.983
K 0.595 0.250 0.017
K 0.905 0.250 0.517
K 0.095 0.750 0.483
K 0.799 0.525 0.922
K 0.201 0.475 0.078
K 0.299 0.475 0.578
K 0.201 0.025 0.078
K 0.701 0.525 0.422
K 0.799 0.975 0.922
K 0.701 0.975 0.422
K 0.299 0.025 0.578
K 0.529 0.552 0.747
K 0.471 0.448 0.253
K 0.029 0.448 0.753
K 0.471 0.052 0.253
K 0.971 0.552 0.247
K 0.529 0.948 0.747
K 0.971 0.948 0.247
K 0.029 0.052 0.753
Tl 0.190 0.750 0.822
Tl 0.810 0.250 0.178
Tl 0.690 0.250 0.678
Tl 0.310 0.750 0.322
Tl 0.570 0.750 0.553
Tl 0.430 0.250 0.447
Tl 0.070 0.250 0.947
Tl 0.930 0.750 0.053
Ta 0.922 0.750 0.665
Ta 0.078 0.250 0.335
Ta 0.422 0.250 0.835
Ta 0.578 0.750 0.165

Output
The calculated total energy is -3.850 eV per atom. Its space group is No. 62. The calculation puts the formation energy from the elements at -0.46 eV/atom.

***

Material: KTcAs
Method: DFT, GGA-PBE
State: optimized geometry

Cell lengths 4.518, 4.518, 4.518 Å; angles 60.00, 60.00, 60.00 degrees
Site moments in Bohr magnetons follow the coordinates.
Sites, in units of the cell vectors:
As 0.000 0.000 0.000  -0.04
K 0.500 0.500 0.500  0.03
Tc 0.750 0.750 0.750  0.57

Output
For the excess energy over the best structure of this formula in the dataset, the calculation gives 1204 meV/atom. The calculated total energy is -4.411 eV per atom. Its space group is No. 216. The calculation puts the formation energy from the elements at 0.96 eV/atom.

***

Material: K2TcAs
Method: DFT, GGA-PBE
State: optimized geometry

Cell lengths 5.560, 2.992, 6.165 Å; angles 61.68, 90.00, 90.00 degrees
Sites, in units of the cell vectors:
As 0.500 0.750 0.750
K 0.000 0.991 0.000
K 0.000 0.509 0.500
Tc 0.500 0.250 0.250

Output
The calculated total energy is -3.515 eV per atom. Its space group is No. 10. The calculation puts the formation energy from the elements at 0.79 eV/atom.

***

Material: K2TcAs
Method: DFT, GGA-PBE
State: optimized geometry

Cell lengths 11.634, 11.634, 11.634 Å; angles 15.06, 15.06, 15.06 degrees
Site moments in Bohr magnetons follow the coordinates.
Sites, in units of the cell vectors:
As 0.750 0.750 0.750  0.11
K 0.003 0.003 0.003  0.00
K 0.497 0.497 0.497  0.00
Tc 0.250 0.250 0.250  0.87

Output
The calculated total energy is -3.373 eV per atom. Its space group is No. 166. The calculation puts the formation energy from the elements at 0.93 eV/atom.

***

Material: K2TcAs
Method: DFT, GGA-PBE
State: optimized geometry

Cell lengths 5.242, 5.242, 5.242 Å; angles 120.06, 120.06, 89.90 degrees
Site moments in Bohr magnetons follow the coordinates.
Sites, in units of the cell vectors:
As 0.750 0.250 0.500  0.02
K 0.000 0.000 0.000  0.01
K 0.250 0.750 0.500  0.05
Tc 0.500 0.500 0.000  2.99

Output
The calculated total energy is -3.501 eV per atom. Its space group is No. 216. The calculation puts the formation energy from the elements at 0.80 eV/atom.

***

Material: K2TcAs
Method: DFT, GGA-PBE
State: optimized geometry

Cell lengths 2.843, 2.843, 11.151 Å; angles 90.00, 90.00, 90.03 degrees
Sites, in units of the cell vectors:
As 0.500 0.500 0.750
K 0.000 0.000 0.990
K 0.000 0.000 0.510
Tc 0.500 0.500 0.250

Output
The calculated total energy is -3.550 eV per atom. Its space group is No. 123. The calculation puts the formation energy from the elements at 0.75 eV/atom.

***

Material: KTc2As2
Method: DFT, GGA-PBE
State: optimized geometry

Cell lengths 3.815, 3.815, 7.606 Å; angles 90.00, 90.00, 90.00 degrees
Sites, in units of the cell vectors:
K 0.000 0.000 0.000
Tc 0.500 0.000 0.500
Tc 0.000 0.500 0.500
As 0.500 0.500 0.727
As 0.500 0.500 0.273

Output
For the excess energy over the best structure of this formula in the dataset, the calculation gives 218 meV/atom. The calculated total energy is -6.267 eV per atom. Its space group is No. 123. The calculation puts the formation energy from the elements at -0.04 eV/atom.

***

Material: K2TcAs
Method: DFT, GGA-PBE
State: optimized geometry

Cell lengths 4.073, 5.546, 6.605 Å; angles 65.21, 90.00, 90.00 degrees
Site moments in Bohr magnetons follow the coordinates.
Sites, in units of the cell vectors:
As 0.500 0.572 0.731  -0.03
K 0.000 0.983 0.909  0.00
K 0.500 0.275 0.324  0.00
Tc 0.000 0.670 0.536  0.91

Output
The calculated total energy is -3.949 eV per atom. Its space group is No. 38. The calculation puts the formation energy from the elements at 0.35 eV/atom.

***

Material: KTc3As3
Method: DFT, GGA-PBE
State: optimized geometry

Cell lengths 6.701, 6.701, 9.523 Å; angles 69.40, 69.40, 60.00 degrees
Sites, in units of the cell vectors:
K 0.663 0.663 0.011
K 0.337 0.337 0.989
Tc 0.167 0.566 0.426
Tc 0.841 0.167 0.426
Tc 0.566 0.841 0.426
Tc 0.434 0.159 0.574
Tc 0.159 0.833 0.574
Tc 0.833 0.434 0.574
As 0.462 0.746 0.711
As 0.746 0.082 0.711
As 0.082 0.462 0.711
As 0.918 0.538 0.289
As 0.254 0.918 0.289
As 0.538 0.254 0.289

Output
The calculated total energy is -6.731 eV per atom. Its space group is No. 148. The calculation puts the formation energy from the elements at -0.14 eV/atom.

***

Material: K2TcAs
Method: DFT, GGA-PBE
State: optimized geometry

Cell lengths 10.466, 10.466, 10.466 Å; angles 158.44, 162.59, 27.84 degrees
Site moments in Bohr magnetons follow the coordinates.
Sites, in units of the cell vectors:
As 0.250 0.750 0.500  -0.01
K 0.101 0.101 0.000  0.00
K 0.399 0.399 0.000  0.00
Tc 0.750 0.250 0.500  0.22

Output
The calculated total energy is -4.007 eV per atom. Its space group is No. 71. The calculation puts the formation energy from the elements at 0.30 eV/atom.

***

Material: KTc3As
Method: DFT, GGA-PBE
State: optimized geometry

Cell lengths 4.745, 4.745, 4.745 Å; angles 90.00, 90.00, 90.00 degrees
Site moments in Bohr magnetons follow the coordinates.
Sites, in units of the cell vectors:
K 0.500 0.500 0.500  0.02
As 0.000 0.000 0.000  -0.04
Tc 0.000 0.500 0.000  1.22
Tc 0.000 0.000 0.500  1.32
Tc 0.500 0.000 0.000  1.10

Output
For the excess energy over the best structure of this formula in the dataset, the calculation gives 0 meV/atom. The calculated total energy is -6.069 eV per atom. Its space group is No. 221. The calculation puts the formation energy from the elements at 1.30 eV/atom.

***

Material: K2TcAs
Method: DFT, GGA-PBE
State: optimized geometry

Cell lengths 6.646, 6.646, 6.646 Å; angles 147.57, 127.58, 63.01 degrees
Site moments in Bohr magnetons follow the coordinates.
Sites, in units of the cell vectors:
As 0.301 0.801 0.500  -0.01
K 0.038 0.038 0.000  0.00
K 0.735 0.235 0.500  0.00
Tc 0.426 0.426 0.000  0.20

Output
The calculated total energy is -3.951 eV per atom. Its space group is No. 44. The calculation puts the formation energy from the elements at 0.35 eV/atom.

***

Material: KTcAs
Method: DFT, GGA-PBE
State: optimized geometry

Cell lengths 5.004, 5.004, 2.756 Å; angles 90.00, 90.00, 120.00 degrees
Site moments in Bohr magnetons follow the coordinates.
Sites, in units of the cell vectors:
As 0.000 0.000 0.833  0.00
K 0.667 0.333 0.333  0.01
Tc 0.333 0.667 0.833  0.14

Output
For the excess energy over the best structure of this formula in the dataset, the calculation gives 1067 meV/atom. The calculated total energy is -4.548 eV per atom. Its space group is No. 187. The calculation puts the formation energy from the elements at 0.82 eV/atom.

***

Material: K2TcAs
Method: DFT, GGA-PBE
State: optimized geometry

Cell lengths 6.239, 6.239, 6.239 Å; angles 140.60, 140.60, 56.95 degrees
Site moments in Bohr magnetons follow the coordinates.
Sites, in units of the cell vectors:
As 0.750 0.250 0.500  0.01
K 0.000 0.000 0.000  0.00
K 0.500 0.500 0.000  0.00
Tc 0.250 0.750 0.500  2.53

Output
The calculated total energy is -3.550 eV per atom. Its space group is No. 139. The calculation puts the formation energy from the elements at 0.75 eV/atom.

***

Material: KTcAs
Method: DFT, GGA-PBE
State: optimized geometry

Cell lengths 3.967, 3.967, 11.009 Å; angles 90.00, 90.00, 90.00 degrees
Sites, in units of the cell vectors:
Tc 0.000 0.000 0.000
Tc 0.500 0.500 0.000
K 0.000 0.500 0.299
K 0.500 0.000 0.701
As 0.000 0.500 0.859
As 0.500 0.000 0.141

Output
For the excess energy over the best structure of this formula in the dataset, the calculation gives 0 meV/atom. The calculated total energy is -5.615 eV per atom. Its space group is No. 129. The calculation puts the formation energy from the elements at -0.24 eV/atom.

***

Material: KTc4As
Method: DFT, GGA-PBE
State: optimized geometry

Cell lengths 5.306, 5.306, 5.306 Å; angles 60.00, 60.00, 60.00 degrees
Sites, in units of the cell vectors:
K 0.000 0.000 0.000
Tc 0.870 0.377 0.377
Tc 0.377 0.377 0.870
Tc 0.377 0.870 0.377
Tc 0.377 0.377 0.377
As 0.750 0.750 0.750

Output
The calculated total energy is -6.916 eV per atom. Its space group is No. 216. The calculation puts the formation energy from the elements at 0.95 eV/atom.

***

Material: KTcAs3
Method: DFT, GGA-PBE
State: optimized geometry

Cell lengths 4.951, 4.951, 4.951 Å; angles 90.00, 90.00, 90.00 degrees
Sites, in units of the cell vectors:
K 0.500 0.500 0.500
As 0.000 0.500 0.000
As 0.000 0.000 0.500
As 0.500 0.000 0.000
Tc 0.000 0.000 0.000

Output
For the excess energy over the best structure of this formula in the dataset, the calculation gives 0 meV/atom. The calculated total energy is -4.932 eV per atom. Its space group is No. 221. The calculation puts the formation energy from the elements at 0.15 eV/atom.